(1)
Material: Zn2Au2I7
Method: DFT, PBE-GGA
State: relaxed

a b c (Å): 8.000 7.827 14.384
angles (deg): 64.76 44.11 63.37
Sites, in units of the cell vectors:
Zn: 0.253 0.241 0.769
Zn: 0.747 0.759 0.231
Au: 0.338 0.707 0.616
Au: 0.662 0.293 0.384
I: 0.010 0.484 0.293
I: 0.620 0.012 0.582
I: 0.990 0.516 0.707
I: 0.380 0.988 0.418
I: 0.000 0.000 0.000
I: 0.418 0.451 0.782
I: 0.582 0.549 0.218

Results
Magnetization   0.00 μB per atom
Raw total energy   -2.065 eV/atom
E_form (uncorrected)   -0.25 eV/atom

=====

(2)
Material: Zn2Au2I
Method: DFT, PBE-GGA
State: relaxed

a b c (Å): 8.518 8.518 2.853
angles (deg): 90.00 90.00 90.00
Sites, in units of the cell vectors:
I: 0.000 0.000 0.000
I: 0.500 0.500 0.000
Zn: 0.321 0.821 0.000
Zn: 0.821 0.679 0.000
Zn: 0.679 0.179 0.000
Zn: 0.179 0.321 0.000
Au: 0.119 0.619 0.500
Au: 0.619 0.881 0.500
Au: 0.881 0.381 0.500
Au: 0.381 0.119 0.500

Results
Magnetization   0.00 μB per atom
Raw total energy   -2.039 eV/atom
Offset from the most stable computed form   0.125 eV/atom
E_form (uncorrected)   0.09 eV/atom

=====

(3)
Material: Zr2AuI
Method: DFT, PBE-GGA
State: relaxed

a b c (Å): 4.972 4.972 4.972
angles (deg): 60.00 60.00 60.00
Sites, in units of the cell vectors:
I: 0.000 0.000 0.000
Au: 0.500 0.500 0.500
Zr: 0.250 0.250 0.250
Zr: 0.750 0.750 0.750

Results
Magnetization   0.00 μB per atom
Raw total energy   -5.637 eV/atom
Offset from the most stable computed form   0.000 eV/atom
E_form (uncorrected)   -0.16 eV/atom

=====

(4)
Material: Zr2AuI
Method: DFT, PBE-GGA
State: relaxed

a b c (Å): 6.174 6.174 8.044
angles (deg): 67.43 67.43 90.00
Sites, in units of the cell vectors:
I: 0.500 0.500 0.000
I: 0.250 0.750 0.500
Au: 0.000 0.000 0.000
Au: 0.750 0.250 0.500
Zr: 0.669 0.125 0.250
Zr: 0.081 0.625 0.250
Zr: 0.375 0.331 0.750
Zr: 0.875 0.919 0.750

Results
Magnetization   0.00 μB per atom
Raw total energy   -5.149 eV/atom
Offset from the most stable computed form   0.487 eV/atom
E_form (uncorrected)   0.33 eV/atom

=====

Repeat the third record exactly.
Material: Zr2AuI
Method: DFT, PBE-GGA
State: relaxed

a b c (Å): 4.972 4.972 4.972
angles (deg): 60.00 60.00 60.00
Sites, in units of the cell vectors:
I: 0.000 0.000 0.000
Au: 0.500 0.500 0.500
Zr: 0.250 0.250 0.250
Zr: 0.750 0.750 0.750

Results
Magnetization   0.00 μB per atom
Raw total energy   -5.637 eV/atom
Offset from the most stable computed form   0.000 eV/atom
E_form (uncorrected)   -0.16 eV/atom

=====

Q: Which of these has the highest E_form (uncorrected)?
A: number 4

=====

Q: Among the records above, which one has the lowest raw total energy?
A: number 3

=====

Q: Which value of magnetization does entry 3 give?
A: 0.00 μB per atom